{
  "formula": "Hg2WAuO",
  "functional": "PBE with a Hubbard U",
  "state": "relaxed",
  "lattice": [[5.602, 0.000, 0.000], [0.000, 3.895, 0.000], [0.000, 0.000, 5.602]],
  "species": ["O", "Hg", "Hg", "Au", "W"],
  "fractional_positions": [[0.000, 0.500, 0.000], [0.000, 0.000, 0.500], [0.500, 0.000, 0.000], [0.000, 0.000, 0.000], [0.500, 0.500, 0.500]],
  "magnetic_moment_mub_per_cell": 4.51,
  "total_energy_ev_per_atom": -2.35
}